No. 1
Pm2ErThSe4: relaxed, PBE.

abc: 4.1232 7.2835 7.1824
angles: 109.06 90.00 90.00
Sites, in units of the cell vectors:
Th1 0.5000 0.5000 0.0000
Se1 0.0000 0.2424 0.7529
Pm1 0.0000 0.5000 0.5000
Se2 0.0000 0.7576 0.2471
Se3 0.5000 0.7613 0.7597
Er1 0.0000 0.0000 0.0000
Se4 0.5000 0.2387 0.2403
Pm2 0.5000 0.0000 0.5000

Summary:
- Raw formation energy: -1.7138 eV per atom
- Total magnetic moment: 0.00 μB/f.u.



No. 2
CuTcP: relaxed, PBE.

abc: 3.9601 3.8839 5.6447
angles: 90.00 92.58 90.00
Sites, in units of the cell vectors:
Cu1 0.6718 0.2500 0.1458
Tc1 0.2412 0.2500 0.5018
Tc2 0.7588 0.7500 0.4982
Cu2 0.3282 0.7500 0.8542
P1 0.2490 0.7500 0.2487
P2 0.7510 0.2500 0.7513

Summary:
- Formation energy from the elements: -0.1883 eV/atom
- Total magnetic moment: 0.00 μB/f.u.
- Polymorph energy (0 for the lowest one): 79.5 meV/atom